# 1
Material: LiTl2CrO6
Method: DFT, PBE with a Hubbard U
State: optimized geometry

Output
E = -5.22 eV per atom
ρ = 7.1 g/cm3
total magnetization = 0.00 μB per formula unit

The structure in CIF format:
```
data_LiTl2CrO6
_cell_length_a 5.1684
_cell_length_b 5.1684
_cell_length_c 4.9459
_cell_angle_alpha 90.00
_cell_angle_beta 90.00
_cell_angle_gamma 90.00
_symmetry_space_group_name_H-M 'P 4 m m'
_symmetry_Int_Tables_number 99
loop_
_symmetry_equiv_pos_as_xyz
'x,y,z'
'-y,x,z'
'-x,-y,z'
'y,-x,z'
'-x,y,z'
'y,x,z'
'x,-y,z'
'-y,-x,z'
loop_
_atom_site_label
_atom_site_type_symbol
_atom_site_fract_x
_atom_site_fract_y
_atom_site_fract_z
Li1 Li 0.0000 0.0000 0.0000
Tl1 Tl 0.0000 0.5000 0.4574
Cr1 Cr 0.5000 0.5000 0.0285
O1 O 0.0000 0.0000 0.6007
O2 O 0.2679 0.2679 0.1423
O3 O 0.5000 0.5000 0.6859
```



# 2
Material: Li2TmCrO4
Method: DFT, PBE with a Hubbard U
State: optimized geometry

Output
E = -6.90 eV per atom
ρ = 5.9 g/cm3
total magnetization = 3.00 μB per formula unit

The structure in CIF format:
```
data_Li2TmCrO4
_cell_length_a 5.2907
_cell_length_b 3.1587
_cell_length_c 5.3828
_cell_angle_alpha 90.00
_cell_angle_beta 109.75
_cell_angle_gamma 90.00
_symmetry_space_group_name_H-M 'P 1 2/m 1'
_symmetry_Int_Tables_number 10
loop_
_symmetry_equiv_pos_as_xyz
'x,y,z'
'-x,-y,-z'
'-x,y,-z'
'x,-y,z'
loop_
_atom_site_label
_atom_site_type_symbol
_atom_site_fract_x
_atom_site_fract_y
_atom_site_fract_z
Li1 Li 0.0000 0.0000 0.0000
Li2 Li 0.0000 0.5000 0.5000
Tm1 Tm 0.5000 0.0000 0.5000
Cr1 Cr 0.5000 0.5000 0.0000
O1 O 0.2657 0.5000 0.2390
O2 O 0.2721 0.0000 0.7774
```



# 3
Material: Li3Tm3CrO8
Method: DFT, PBE with a Hubbard U
State: optimized geometry

Output
E = -7.09 eV per atom
ρ = 6.6 g/cm3
total magnetization = 1.98 μB per formula unit

The structure in CIF format:
```
data_Li3Tm3CrO8
_cell_length_a 10.5312
_cell_length_b 6.4822
_cell_length_c 6.1925
_cell_angle_alpha 90.00
_cell_angle_beta 122.05
_cell_angle_gamma 90.00
_symmetry_space_group_name_H-M 'C 1 2/m 1'
_symmetry_Int_Tables_number 12
loop_
_symmetry_equiv_pos_as_xyz
'x,y,z'
'-x,-y,-z'
'-x,y,-z'
'x,-y,z'
'x+1/2,y+1/2,z'
'-x+1/2,-y+1/2,-z'
'-x+1/2,y+1/2,-z'
'x+1/2,-y+1/2,z'
loop_
_atom_site_label
_atom_site_type_symbol
_atom_site_fract_x
_atom_site_fract_y
_atom_site_fract_z
Li1 Li 0.0000 0.0000 0.0000
Li2 Li 0.2500 0.2500 0.5000
Tm1 Tm 0.0000 0.5000 0.5000
Tm2 Tm 0.2500 0.2500 0.0000
Cr1 Cr 0.0000 0.0000 0.5000
O1 O 0.0006 0.2228 0.7215
O2 O 0.2220 0.0000 0.7238
O3 O 0.2444 0.5000 0.7563
```



# 4
Material: LiUCr2O6
Method: DFT, PBE with a Hubbard U
State: optimized geometry

Output
E = -8.14 eV per atom
ρ = 6.4 g/cm3
total magnetization = 7.00 μB per formula unit

The structure in CIF format:
```
data_LiUCr2O6
_cell_length_a 5.3305
_cell_length_b 5.3305
_cell_length_c 13.9731
_cell_angle_alpha 90.00
_cell_angle_beta 90.00
_cell_angle_gamma 120.00
_symmetry_space_group_name_H-M 'R 3'
_symmetry_Int_Tables_number 146
_symmetry_space_group_name_Hall 'R 3'
loop_
_atom_site_label
_atom_site_type_symbol
_atom_site_fract_x
_atom_site_fract_y
_atom_site_fract_z
Li1 Li 0.0000 0.0000 0.0000
U1 U 0.0000 0.0000 0.4957
Cr1 Cr 0.0000 0.0000 0.2879
Cr2 Cr 0.0000 0.0000 0.7915
O1 O 0.0140 0.6274 0.5500
O2 O 0.0226 0.3931 0.0537
```



# 5
Material: LiUCrO6
Method: DFT, PBE with a Hubbard U
State: optimized geometry

Output
E = -7.73 eV per atom
ρ = 5.8 g/cm3
total magnetization = 0.98 μB per formula unit

The structure in CIF format:
```
data_LiUCrO6
_cell_length_a 5.3091
_cell_length_b 5.3091
_cell_length_c 9.2733
_cell_angle_alpha 90.00
_cell_angle_beta 90.00
_cell_angle_gamma 120.00
_symmetry_space_group_name_H-M 'P -3 1 c'
_symmetry_Int_Tables_number 163
_symmetry_space_group_name_Hall '-P 3 2c'
loop_
_atom_site_label
_atom_site_type_symbol
_atom_site_fract_x
_atom_site_fract_y
_atom_site_fract_z
Li1 Li 0.0000 0.0000 0.0000
U1 U 0.3333 0.6667 0.2500
Cr1 Cr 0.3333 0.6667 0.7500
O1 O 0.0248 0.3749 0.6392
```



# 6
Material: Li2UCrO6
Method: DFT, PBE with a Hubbard U
State: optimized geometry

Output
E = -7.55 eV per atom
ρ = 6.0 g/cm3
total magnetization = 1.98 μB per formula unit

The structure in CIF format:
```
data_Li2UCrO6
_cell_length_a 5.2817
_cell_length_b 5.4527
_cell_length_c 9.2835
_cell_angle_alpha 90.00
_cell_angle_beta 124.39
_cell_angle_gamma 90.00
_symmetry_space_group_name_H-M 'P 1 21/c 1'
_symmetry_Int_Tables_number 14
loop_
_symmetry_equiv_pos_as_xyz
'x,y,z'
'-x,-y,-z'
'-x,y+1/2,-z+1/2'
'x,-y+1/2,z+1/2'
loop_
_atom_site_label
_atom_site_type_symbol
_atom_site_fract_x
_atom_site_fract_y
_atom_site_fract_z
Li1 Li 0.2505 0.0111 0.2473
U1 U 0.0000 0.0000 0.5000
Cr1 Cr 0.5000 0.0000 0.0000
O1 O 0.1274 0.1853 0.9406
O2 O 0.2700 0.7012 0.9384
O3 O 0.3776 0.0427 0.7616
```